Record 1
VASP calculation (GGA-PBE) on a relaxed Hf2PtRh crystal.

total DFT energy (no corrections)	-9.245	eV per atom
symmetry	No. 123
crystal system	tetragonal

a b c (Å): 4.6451 4.6451 3.3306
angles (deg): 90.00 90.00 90.00
Closest atoms and distances in Å follow each position.
Element x y z (fractional)
Hf: 0.0000 0.5000 0.0000  4 Rh 2.86, 4 Pt 2.86
Hf: 0.5000 0.0000 0.0000  4 Rh 2.86, 4 Pt 2.86
Pt: 0.0000 0.0000 0.5000  8 Hf 2.86
Rh: 0.5000 0.5000 0.5000  8 Hf 2.86

---

Record 2
VASP calculation (GGA-PBE) on a relaxed TbDyHo2 crystal.

total DFT energy (no corrections)	-4.579	eV per atom
symmetry	No. 166
crystal system	trigonal

a b c (Å): 11.6838 11.6838 11.6838
angles (deg): 17.38 17.38 17.38
Closest atoms and distances in Å follow each position.
Element x y z (fractional)
Tb: 0.0000 0.0000 0.0000  6 Ho 3.53, 6 Tb 3.53
Dy: 0.5000 0.5000 0.5000  6 Ho 3.52, 6 Dy 3.53
Ho: 0.2498 0.2498 0.2498  3 Dy 3.52, 3 Tb 3.53, 6 Ho 3.53
Ho: 0.7502 0.7502 0.7502  3 Dy 3.52, 3 Tb 3.53, 6 Ho 3.53

---

Record 3
VASP calculation (GGA-PBE) on a relaxed LaHgHPt2 crystal.

total DFT energy (no corrections)	-4.445	eV per atom
symmetry	No. 123
crystal system	tetragonal

a b c (Å): 4.3097 4.3097 4.7482
angles (deg): 90.00 90.00 90.00
Closest atoms and distances in Å follow each position.
Element x y z (fractional)
La: 0.0000 0.0000 0.0000  2 H 2.37
Hg: 0.5000 0.5000 0.0000  4 La 3.05, 8 Pt 3.21
H: 0.0000 0.0000 0.5000  4 Pt 2.15, 2 La 2.37
Pt: 0.0000 0.5000 0.5000  2 H 2.15
Pt: 0.5000 0.0000 0.5000  2 H 2.15

---

Record 4
VASP calculation (GGA-PBE) on a relaxed Er4MgCu2 crystal.

total DFT energy (no corrections)	-3.958	eV per atom
symmetry	No. 166
crystal system	trigonal

a b c (Å): 9.0584 9.0584 9.0584
angles (deg): 31.37 31.37 31.37
Closest atoms and distances in Å follow each position.
Element x y z (fractional)
Er: 0.1138 0.1138 0.1138  3 Cu 3.06, 3 Mg 3.14, 3 Er 3.42
Er: 0.2941 0.2941 0.2941  4 Cu 2.79-2.93
Er: 0.7059 0.7059 0.7059  4 Cu 2.79-2.93
Er: 0.8862 0.8862 0.8862  3 Cu 3.06, 3 Mg 3.14, 3 Er 3.42
Mg: 0.5000 0.5000 0.5000  2 Cu 2.53
Cu: 0.4021 0.4021 0.4021  1 Mg 2.53, 1 Er 2.79
Cu: 0.5979 0.5979 0.5979  1 Mg 2.53, 1 Er 2.79

---

Record 5
VASP calculation (GGA-PBE) on a relaxed Pr8Ga3IrCl4 crystal.

formation energy from raw total energies	-1.031	eV per atom
symmetry	No. 12
crystal system	monoclinic

a b c (Å): 8.5423 8.5423 8.6460
angles (deg): 119.63 119.63 59.93
Closest atoms and distances in Å follow each position.
Element x y z (fractional)
Pr: 0.2355 0.2355 0.7287  1 Ir 2.86, 2 Ga 3.00, 2 Cl 3.09
Pr: 0.2355 0.7575 0.7285  1 Ir 2.86, 2 Ga 3.00, 2 Cl 3.09
Pr: 0.2425 0.7645 0.2715  1 Ir 2.86, 2 Ga 3.00, 2 Cl 3.09
Pr: 0.2498 0.2498 0.2492  3 Cl 3.03-3.04, 3 Ga 3.04
Pr: 0.7502 0.7502 0.7508  3 Cl 3.03-3.04, 3 Ga 3.04
Pr: 0.7575 0.2355 0.7285  1 Ir 2.86, 2 Ga 3.00, 2 Cl 3.09
Pr: 0.7645 0.2425 0.2715  1 Ir 2.86, 2 Ga 3.00, 2 Cl 3.09
Pr: 0.7645 0.7645 0.2713  1 Ir 2.86, 2 Ga 3.00, 2 Cl 3.09
Ga: 0.0000 0.5000 0.5000  6 Pr 3.00-3.04
Ga: 0.5000 0.0000 0.5000  6 Pr 3.00-3.04
Ga: 0.5000 0.5000 0.5000  6 Pr 3.00-3.04
Ir: 0.0000 0.0000 0.5000  6 Pr 2.86
Cl: 0.0000 0.0000 0.0000  6 Pr 3.04-3.09
Cl: 0.0000 0.5000 0.0000  6 Pr 3.03-3.09
Cl: 0.5000 0.0000 0.0000  6 Pr 3.03-3.09
Cl: 0.5000 0.5000 0.0000  6 Pr 3.21-3.22

---

Record 6
VASP calculation (GGA-PBE) on a relaxed GaTeSe2 crystal.

formation energy from raw total energies	-0.204	eV per atom
symmetry	No. 1
crystal system	triclinic

a b c (Å): 3.7046 5.8058 5.8315
angles (deg): 80.61 89.87 71.69
Closest atoms and distances in Å follow each position.
Element x y z (fractional)
Ga: 0.0000 0.0000 0.0000  3 Se 2.43-2.49, 1 Te 2.69
Te: 0.8152 0.3757 0.6380  1 Se 2.57, 1 Ga 2.69
Se: 0.0018 0.0042 0.4265  1 Ga 2.49, 1 Te 2.57
Se: 0.6416 0.7123 0.0134  2 Ga 2.43

---

Record 7
VASP calculation (GGA-PBE) on a relaxed ZrVCuTc crystal.

total DFT energy (no corrections)	-8.080	eV per atom
symmetry	No. 216
crystal system	cubic

a b c (Å): 4.4658 4.4658 4.4658
angles (deg): 60.00 60.00 60.00
Closest atoms and distances in Å follow each position.
Element x y z (fractional)
Zr: 0.0000 0.0000 0.0000  4 Tc 2.73, 4 Cu 2.73
V: 0.5000 0.5000 0.5000  4 Tc 2.73, 4 Cu 2.73
Cu: 0.2500 0.2500 0.2500  4 V 2.73, 4 Zr 2.73
Tc: 0.7500 0.7500 0.7500  4 V 2.73, 4 Zr 2.73

---

Record 8
VASP calculation (GGA-PBE) on a relaxed RbNaPbF4 crystal.

formation energy from raw total energies	-2.470	eV per atom
symmetry	No. 63
crystal system	orthorhombic

a b c (Å): 7.3200 7.3200 6.3280
angles (deg): 90.00 90.00 133.82
Closest atoms and distances in Å follow each position.
Element x y z (fractional)
Rb: 0.0990 0.9010 0.7500  1 F 2.59
Rb: 0.9010 0.0990 0.2500  1 F 2.59
Na: 0.2597 0.7403 0.2500  5 F 2.14-2.24
Na: 0.7403 0.2597 0.7500  5 F 2.14-2.24
Pb: 0.3708 0.6292 0.7500  1 F 2.40
Pb: 0.6292 0.3708 0.2500  1 F 2.40
F: 0.0000 0.5000 0.0000  2 Na 2.14
F: 0.0000 0.5000 0.5000  2 Na 2.14
F: 0.0932 0.9068 0.2500  1 Na 2.24
F: 0.4512 0.5488 0.2500  1 Pb 2.40, 1 Na 2.58
F: 0.5000 0.0000 0.0000  2 Na 2.14
F: 0.5000 0.0000 0.5000  2 Na 2.14
F: 0.5488 0.4512 0.7500  1 Pb 2.40, 1 Na 2.58
F: 0.9068 0.0932 0.7500  1 Na 2.24

---

Record 9
VASP calculation (GGA-PBE) on a relaxed NbCF3 crystal.

formation energy from raw total energies	-0.567	eV per atom
symmetry	No. 221
crystal system	cubic

a b c (Å): 4.1321 4.1321 4.1321
angles (deg): 90.00 90.00 90.00
Closest atoms and distances in Å follow each position.
Element x y z (fractional)
Nb: 0.0000 0.0000 0.0000  6 F 2.07
C: 0.5000 0.5000 0.5000  12 F 2.92
F: 0.0000 0.0000 0.5000  2 Nb 2.07
F: 0.0000 0.5000 0.0000  2 Nb 2.07
F: 0.5000 0.0000 0.0000  2 Nb 2.07

---

Record 10
VASP calculation (GGA-PBE) on a relaxed ScVSn2 crystal.

total DFT energy (no corrections)	-5.998	eV per atom
symmetry	No. 123
crystal system	tetragonal

a b c (Å): 3.2413 3.2413 7.9293
angles (deg): 90.00 90.00 90.00
Closest atoms and distances in Å follow each position.
Element x y z (fractional)
Sc: 0.0000 0.0000 0.0000  8 Sn 3.15, 4 Sc 3.24
V: 0.0000 0.0000 0.5000  8 Sn 2.92, 4 V 3.24
Sn: 0.5000 0.5000 0.2727  4 V 2.92, 4 Sc 3.15, 4 Sn 3.24
Sn: 0.5000 0.5000 0.7273  4 V 2.92, 4 Sc 3.15, 4 Sn 3.24

---

Record 11
VASP calculation (GGA-PBE) on a relaxed Sr2TcAu crystal.

total DFT energy (no corrections)	-3.995	eV per atom
symmetry	No. 123
crystal system	tetragonal

a b c (Å): 3.6371 3.6371 8.1720
angles (deg): 90.00 90.00 90.00
Closest atoms and distances in Å follow each position.
Element x y z (fractional)
Sr: 0.0000 0.0000 0.2466  4 Tc 3.27, 4 Au 3.30, 4 Sr 3.64
Sr: 0.0000 0.0000 0.7534  4 Tc 3.27, 4 Au 3.30, 4 Sr 3.64
Tc: 0.5000 0.5000 0.0000  8 Sr 3.27, 4 Tc 3.64
Au: 0.5000 0.5000 0.5000  8 Sr 3.30, 4 Au 3.64

---

Record 12
VASP calculation (GGA-PBE) on a relaxed Tm2NpTl crystal.

total DFT energy (no corrections)	-5.952	eV per atom
symmetry	No. 123
crystal system	tetragonal

a b c (Å): 3.3947 3.3947 9.2081
angles (deg): 90.00 90.00 90.00
Closest atoms and distances in Å follow each position.
Element x y z (fractional)
Tm: 0.0000 0.0000 0.2446  4 Tl 3.29, 4 Np 3.36, 4 Tm 3.39
Tm: 0.0000 0.0000 0.7554  4 Tl 3.29, 4 Np 3.36, 4 Tm 3.39
Np: 0.5000 0.5000 0.5000  8 Tm 3.36, 4 Np 3.39
Tl: 0.5000 0.5000 0.0000  8 Tm 3.29, 4 Tl 3.39